Record 1
Here is crystalline Nd4Dy3 at its relaxed geometry from Alexandria via LeMat-Bulk. Energies are from PBE-GGA.

It has space group C2/m (No. 12), with a = 17.034 Å, b = 3.523 Å, c = 8.870 Å, α = 90.00°, β = 116.64° and γ = 90.00°. The distinct sites, in fractional coordinates, are Nd at (0.079, 0.000, 0.205), Nd at (0.139, 0.500, 0.907), Dy at (0.000, 0.000, 0.500) and Dy at (0.221, 0.000, 0.644).

The energy of formation from the pure elements is 0.89 eV/f.u. For the energy above the most stable polymorph in this dataset, the calculation gives 0.016 eV/atom.


Record 2
Here is crystalline SrHfAs2 at its relaxed geometry from Alexandria via LeMat-Bulk. Energies are from PBE-GGA.

It has space group R-3m (No. 166, hexagonal axes), with a = 4.0251 Å, b = 4.0251 Å, c = 21.2135 Å, α = 90.00°, β = 90.00° and γ = 120.00°. The distinct sites, in fractional coordinates, are Sr at (0.0000, 0.0000, 0.0000), Hf at (0.0000, 0.0000, 0.5000) and As at (0.0000, 0.0000, 0.2369).

The energy of formation from the pure elements is -4.46 eV/f.u. For the energy above the most stable polymorph in this dataset, the calculation gives 0.000 eV/atom.


Record 3
Here is crystalline NiPt2Rh at its relaxed geometry from Alexandria via LeMat-Bulk. Energies are from PBE-GGA.

It has space group Pmmm (No. 47), with a = 2.738 Å, b = 3.809 Å, c = 5.477 Å, α = 90.00°, β = 90.00° and γ = 90.00°. The distinct sites, in fractional coordinates, are Ni at (0.000, 0.000, 0.000), Pt at (0.500, 0.500, 0.244) and Rh at (0.000, 0.000, 0.500).

The energy of formation from the pure elements is -0.16 eV/f.u.


Record 4
Here is crystalline Tb11Y9Er4 at its relaxed geometry from Alexandria via LeMat-Bulk. Energies are from PBE-GGA.

It has space group Cmmm (No. 65), with a = 16.722 Å, b = 25.264 Å, c = 3.652 Å, α = 90.00°, β = 90.00° and γ = 90.00°. The distinct sites, in fractional coordinates, are Tb at (0.000, 0.000, 0.000), Tb at (0.000, 0.160, 0.000), Tb at (0.000, 0.368, 0.000), Tb at (0.207, 0.500, 0.000), Tb at (0.227, 0.181, 0.000), Y at (0.000, 0.500, 0.500), Y at (0.102, 0.266, 0.500), Y at (0.142, 0.073, 0.500) and Er at (0.155, 0.399, 0.500).

The energy of formation from the pure elements is 1.09 eV/f.u.


- Which of these has the highest energy of formation from the pure elements?
  Tb11Y9Er4